# 1
Entry from the Alexandria database: a PBEsol-optimized structure of Ni5Pt7 (meta-GGA SCAN).

Output
Energy of formation: -116 meV per atom
Energy above the lowest structure with this stoichiometry: 0.032 eV/atom

Unit cell a=6.4737 b=2.6967 c=9.1257 alpha=90.00 beta=91.29 gamma=90.00
Space group Pm (No. 6)
Inequivalent atoms, fractional coordinates:
Ni1 0.0000 0.0000 0.0000
Ni2 0.0048 0.5000 0.2394
Ni3 0.3569 0.0000 0.8314
Ni4 0.6739 0.5000 0.9075
Ni5 0.6863 0.0000 0.6758
Pt1 0.0115 0.5000 0.7654
Pt2 0.0146 0.0000 0.5008
Pt3 0.3275 0.5000 0.0625
Pt4 0.3342 0.0000 0.3232
Pt5 0.3607 0.5000 0.5961
Pt6 0.6809 0.5000 0.4165
Pt7 0.6826 0.0000 0.1501

# 2
Entry from the Alexandria database: a PBEsol-optimized structure of Ni3Pt (meta-GGA SCAN).

Output
Energy of formation: -32 meV per atom

Unit cell a=2.5911 b=2.5911 c=24.4594 alpha=90.00 beta=90.00 gamma=120.00
Space group R-3m (No. 166, hexagonal axes)
Inequivalent atoms, fractional coordinates:
Ni1 0.0000 0.0000 0.0000
Ni2 0.0000 0.0000 0.2551
Pt1 0.0000 0.0000 0.5000

# 3
Entry from the Alexandria database: a PBEsol-optimized structure of NiPt3 (meta-GGA SCAN).

Output
Energy of formation: -130 meV per atom

Unit cell a=5.3976 b=7.6395 c=2.7251 alpha=90.00 beta=90.00 gamma=90.00
Space group Cmmm (No. 65)
Inequivalent atoms, fractional coordinates:
Ni1 0.0000 0.0000 0.0000
Pt1 0.0000 0.5000 0.0000
Pt2 0.2500 0.2500 0.5000